[1]
Entry from the Alexandria database: a relaxed ZnAgAu2 crystal (PBE).

abc: 3.010 3.900 5.865
angles: 90.00 90.00 90.00
Positions (direct):
Zn 0.000 0.000 0.492
Au 0.000 0.000 0.995
Au 0.500 0.500 0.268
Ag 0.500 0.500 0.745

Summary:
Mass density ... 13.68 g cm⁻³
Energy ... -2.76 eV per atom
Energy of formation from the pure elements ... -0.092 eV/atom

[2]
Entry from the Alexandria database: a relaxed HoScCo2H6 crystal (PBE).

abc: 4.341 4.341 5.818
angles: 68.09 68.09 60.00
Positions (direct):
Ho 0.000 0.000 0.000
Sc 0.500 0.500 0.500
Co 0.787 0.787 0.638
Co 0.213 0.213 0.362
H 0.061 0.562 0.814
H 0.563 0.061 0.814
H 0.438 0.437 0.186
H 0.939 0.438 0.186
H 0.437 0.939 0.186
H 0.562 0.563 0.814

Summary:
Mass density ... 6.47 g cm⁻³
Energy ... -4.92 eV per atom